[1]
The following is a DFT calculation (PBE) of a relaxed Zn2SbAs crystal.

a b c (Å): 4.8710 4.0889 4.0889
angles (deg): 83.00 90.00 90.00
Last column: nearest neighbours and their distance in Å.
Sites, in units of the cell vectors:
Zn1 0.0000 0.0000 0.0000  3 As 2.70-2.73, 2 Zn 2.77, 2 Sb 2.97
Zn2 0.5000 0.2152 0.2152  3 Sb 2.71-3.02, 2 Zn 2.77, 2 As 2.80
Sb1 0.5000 0.7225 0.7225  5 Zn 2.71-3.02, 2 As 2.99
As1 0.0000 0.4402 0.4402  5 Zn 2.70-2.80, 2 Sb 2.99

E above lowest polymorph	49	meV/atom
total magnetization	0.0000	μB per atom
E_tot	-0.2019	Ry per atom
crystal system	orthorhombic

***

[2]
The following is a DFT calculation (PBE) of a relaxed ZnSbAs2 crystal.

a b c (Å): 3.2299 3.2299 8.4983
angles (deg): 90.00 90.00 108.24
Last column: nearest neighbours and their distance in Å.
Sites, in units of the cell vectors:
Zn1 0.0000 0.0000 0.0000  2 As 2.68, 2 Sb 2.90
Sb1 0.5000 0.5000 0.2589  2 Zn 2.90, 2 As 3.13, 4 Sb 3.23
As1 0.0000 0.0000 0.5526  2 As 2.68
As2 0.5000 0.5000 0.7764  2 Zn 2.68, 2 As 2.68

E above lowest polymorph	277	meV/atom
total magnetization	0.0000	μB per atom
E_tot	-0.2467	Ry per atom
crystal system	orthorhombic

***

[3]
The following is a DFT calculation (PBE) of a relaxed Zn2SbAs crystal.

a b c (Å): 3.3354 3.3354 7.8035
angles (deg): 90.00 90.00 107.95
Last column: nearest neighbours and their distance in Å.
Sites, in units of the cell vectors:
Zn1 0.0000 0.0000 0.2243  2 As 2.63, 2 Sb 2.91
Zn2 0.0000 0.0000 0.7757  2 As 2.63, 2 Sb 2.91
Sb1 0.5000 0.5000 0.5000  4 Zn 2.91
As1 0.5000 0.5000 0.0000  4 Zn 2.63

E above lowest polymorph	160	meV/atom
total magnetization	0.0000	μB per atom
E_tot	-0.1938	Ry per atom
crystal system	orthorhombic

***

[4]
The following is a DFT calculation (PBE) of a relaxed ZnSb2As crystal.

a b c (Å): 3.9695 4.2484 5.6931
angles (deg): 90.00 90.00 90.00
Last column: nearest neighbours and their distance in Å.
Sites, in units of the cell vectors:
Zn1 0.0000 0.0000 0.0000  6 Sb 2.85-2.91
Sb1 0.0000 0.0000 0.5000  2 Zn 2.85, 4 As 2.91
Sb2 0.5000 0.5000 0.0000  2 As 2.85, 4 Zn 2.91
As1 0.5000 0.5000 0.5000  6 Sb 2.85-2.91

E above lowest polymorph	25	meV/atom
total magnetization	0.0000	μB per atom
E_tot	-0.2537	Ry per atom
crystal system	orthorhombic

***

> Which of these has the highest E above lowest polymorph?

ZnSbAs2

***

> Which of these has the highest E_tot?

number 3